1.
# PBE-GGA Hf3CrBi, relaxed
data_Hf3CrBi
_chemical_formula_sum 'Hf3 Cr1 Bi1'
_cell_length_a 5.327
_cell_length_b 5.327
_cell_length_c 5.327
_cell_angle_alpha 90.00
_cell_angle_beta 90.00
_cell_angle_gamma 90.00
_symmetry_space_group_name_H-M 'P m -3 m'
_symmetry_Int_Tables_number 221
_symmetry_space_group_name_Hall '-P 4 2 3'
loop_
_atom_site_label
_atom_site_fract_x
_atom_site_fract_y
_atom_site_fract_z
Hf1 0.000 0.000 0.500
Cr1 0.500 0.500 0.500
Bi1 0.000 0.000 0.000
# Density of states at the Fermi level ... 4.41 states/eV/f.u.
# Energy relative to the lowest polymorph listed for this composition ... 1.157 eV/atom
# ΔE_f ... 7.974 eV/f.u.

=====

2.
# PBE-GGA MnCo2Si, relaxed
data_MnCo2Si
_chemical_formula_sum 'Mn2 Co4 Si2'
_cell_length_a 8.647
_cell_length_b 2.899
_cell_length_c 3.900
_cell_angle_alpha 90.00
_cell_angle_beta 113.25
_cell_angle_gamma 90.00
_symmetry_space_group_name_H-M 'C 1 m 1'
_symmetry_Int_Tables_number 8
loop_
_symmetry_equiv_pos_as_xyz
'x,y,z'
'x,-y,z'
'x+1/2,y+1/2,z'
'x+1/2,-y+1/2,z'
loop_
_atom_site_label
_atom_site_fract_x
_atom_site_fract_y
_atom_site_fract_z
Mn1 0.000 0.000 0.000
Co1 0.247 0.000 0.782
Co2 0.488 0.000 0.486
Si1 0.253 0.500 0.289
# Density of states at the Fermi level ... 2.84 states/eV/f.u.
# Uncorrected formation energy ... -0.26 eV/atom

=====

3.
# PBE-GGA Cs5SiAs3, relaxed
data_Cs5SiAs3
_chemical_formula_sum 'Cs20 Si4 As12'
_cell_length_a 14.785
_cell_length_b 6.087
_cell_length_c 16.427
_cell_angle_alpha 90.00
_cell_angle_beta 90.00
_cell_angle_gamma 90.00
_symmetry_space_group_name_H-M 'P n m a'
_symmetry_Int_Tables_number 62
loop_
_symmetry_equiv_pos_as_xyz
'x,y,z'
'-x,-y,-z'
'-x+1/2,-y,z+1/2'
'x+1/2,y,-z+1/2'
'x+1/2,-y+1/2,-z+1/2'
'-x+1/2,y+1/2,z+1/2'
'-x,y+1/2,-z'
'x,-y+1/2,z'
loop_
_atom_site_label
_atom_site_fract_x
_atom_site_fract_y
_atom_site_fract_z
Cs1 0.044 0.250 0.143
Cs2 0.063 0.250 0.451
Cs3 0.115 0.250 0.686
Cs4 0.150 0.750 0.044
Cs5 0.230 0.750 0.791
Si1 0.240 0.750 0.434
As1 0.105 0.250 0.910
As2 0.134 0.750 0.329
As3 0.194 0.750 0.570
# Uncorrected formation energy ... -0.42 eV/atom

=====

4.
# PBE-GGA CaHf3Ga, relaxed
data_CaHf3Ga
_chemical_formula_sum 'Ca1 Hf3 Ga1'
_cell_length_a 5.124
_cell_length_b 5.124
_cell_length_c 5.124
_cell_angle_alpha 90.00
_cell_angle_beta 90.00
_cell_angle_gamma 90.00
_symmetry_space_group_name_H-M 'P m -3 m'
_symmetry_Int_Tables_number 221
_symmetry_space_group_name_Hall '-P 4 2 3'
loop_
_atom_site_label
_atom_site_fract_x
_atom_site_fract_y
_atom_site_fract_z
Ca1 0.000 0.000 0.000
Hf1 0.000 0.500 0.500
Ga1 0.500 0.500 0.500
# Density of states at the Fermi level ... 9.39 states/eV/f.u.
# Energy relative to the lowest polymorph listed for this composition ... 0.000 eV/atom
# ΔE_f ... 2.699 eV/f.u.

=====

5.
# PBE-GGA Be2ReSe, relaxed
data_Be2ReSe
_chemical_formula_sum 'Be8 Re4 Se4'
_cell_length_a 6.298
_cell_length_b 6.298
_cell_length_c 5.275
_cell_angle_alpha 90.00
_cell_angle_beta 90.00
_cell_angle_gamma 90.00
_symmetry_space_group_name_H-M 'I -4 2 d'
_symmetry_Int_Tables_number 122
_symmetry_space_group_name_Hall 'I -4 2bw'
loop_
_atom_site_label
_atom_site_fract_x
_atom_site_fract_y
_atom_site_fract_z
Be1 0.224 0.750 0.125
Re1 0.000 0.000 0.500
Se1 0.000 0.000 0.000
# Density of states at the Fermi level ... 2.48 states/eV/f.u.
# Uncorrected formation energy ... 0.67 eV/atom

=====

6.
# PBE-GGA Li2ReOs, relaxed
data_Li2ReOs
_chemical_formula_sum 'Li6 Re3 Os3'
_cell_length_a 2.6526
_cell_length_b 2.6526
_cell_length_c 28.2219
_cell_angle_alpha 90.00
_cell_angle_beta 90.00
_cell_angle_gamma 120.00
_symmetry_space_group_name_H-M 'R -3 m'
_symmetry_Int_Tables_number 166
_symmetry_space_group_name_Hall '-R 3 2"'
loop_
_atom_site_label
_atom_site_fract_x
_atom_site_fract_y
_atom_site_fract_z
Li1 0.0000 0.0000 0.2483
Re1 0.0000 0.0000 0.0000
Os1 0.0000 0.0000 0.5000
# Density of states at the Fermi level ... 1.26 states/eV/f.u.
# Energy relative to the lowest polymorph listed for this composition ... 0.151 eV/atom
# ΔE_f ... 1.060 eV/f.u.

=====

7.
# PBE-GGA Th3Zn2Au3, relaxed
data_Th3Zn2Au3
_chemical_formula_sum 'Th12 Zn8 Au12'
_cell_length_a 4.545
_cell_length_b 11.204
_cell_length_c 14.652
_cell_angle_alpha 90.00
_cell_angle_beta 90.00
_cell_angle_gamma 90.00
_symmetry_space_group_name_H-M 'C m c m'
_symmetry_Int_Tables_number 63
_symmetry_space_group_name_Hall '-C 2c 2'
loop_
_atom_site_label
_atom_site_fract_x
_atom_site_fract_y
_atom_site_fract_z
Th1 0.000 0.084 0.108
Th2 0.000 0.370 0.250
Zn1 0.000 0.210 0.598
Au1 0.000 0.349 0.750
Au2 0.000 0.384 0.042
# Density of states at the Fermi level ... 9.36 states/eV/f.u.
# ΔE_f ... -4.203 eV/f.u.

=====

8.
# PBE-GGA NaPrBr4, relaxed
data_NaPrBr4
_chemical_formula_sum 'Na1 Pr1 Br4'
_cell_length_a 6.990
_cell_length_b 4.421
_cell_length_c 7.663
_cell_angle_alpha 90.00
_cell_angle_beta 95.15
_cell_angle_gamma 90.00
_symmetry_space_group_name_H-M 'P 1 2/m 1'
_symmetry_Int_Tables_number 10
loop_
_symmetry_equiv_pos_as_xyz
'x,y,z'
'-x,-y,-z'
'-x,y,-z'
'x,-y,z'
loop_
_atom_site_label
_atom_site_fract_x
_atom_site_fract_y
_atom_site_fract_z
Na1 0.000 0.000 0.000
Pr1 0.000 0.500 0.500
Br1 0.212 0.500 0.194
Br2 0.237 0.000 0.664
# Density of states at the Fermi level ... 0.00 states/eV/f.u.
# Energy relative to the lowest polymorph listed for this composition ... 0.000 eV/atom
# Uncorrected formation energy ... -1.75 eV/atom

=====

9.
# PBE-GGA Zn4Co3Cu, relaxed
data_Zn4Co3Cu
_chemical_formula_sum 'Zn8 Co6 Cu2'
_cell_length_a 4.090
_cell_length_b 4.090
_cell_length_c 11.597
_cell_angle_alpha 90.00
_cell_angle_beta 90.00
_cell_angle_gamma 90.00
_symmetry_space_group_name_H-M 'I 4/m m m'
_symmetry_Int_Tables_number 139
_symmetry_space_group_name_Hall '-I 4 2'
loop_
_atom_site_label
_atom_site_fract_x
_atom_site_fract_y
_atom_site_fract_z
Zn1 0.000 0.500 0.128
Co1 0.000 0.000 0.000
Co2 0.000 0.000 0.248
Cu1 0.000 0.000 0.500
# Density of states at the Fermi level ... 7.36 states/eV/f.u.
# ΔE_f ... -0.083 eV/f.u.

=====

10.
# PBE-GGA ScPtW2, relaxed
data_ScPtW2
_chemical_formula_sum 'Sc1 Pt1 W2'
_cell_length_a 3.267
_cell_length_b 3.267
_cell_length_c 6.384
_cell_angle_alpha 90.00
_cell_angle_beta 90.00
_cell_angle_gamma 90.00
_symmetry_space_group_name_H-M 'P 4 m m'
_symmetry_Int_Tables_number 99
loop_
_symmetry_equiv_pos_as_xyz
'x,y,z'
'-y,x,z'
'-x,-y,z'
'y,-x,z'
'-x,y,z'
'y,x,z'
'x,-y,z'
'-y,-x,z'
loop_
_atom_site_label
_atom_site_fract_x
_atom_site_fract_y
_atom_site_fract_z
Sc1 0.000 0.000 0.000
Pt1 0.500 0.500 0.758
W1 0.000 0.000 0.487
W2 0.500 0.500 0.275
# Density of states at the Fermi level ... 3.35 states/eV/f.u.
# ΔE_f ... -0.808 eV/f.u.

=====

11.
# PBE-GGA SrCaPI, relaxed
data_SrCaPI
_chemical_formula_sum 'Sr2 Ca2 P2 I2'
_cell_length_a 7.584
_cell_length_b 4.379
_cell_length_c 8.386
_cell_angle_alpha 90.00
_cell_angle_beta 107.49
_cell_angle_gamma 90.00
_symmetry_space_group_name_H-M 'C 1 m 1'
_symmetry_Int_Tables_number 8
loop_
_symmetry_equiv_pos_as_xyz
'x,y,z'
'x,-y,z'
'x+1/2,y+1/2,z'
'x+1/2,-y+1/2,z'
loop_
_atom_site_label
_atom_site_fract_x
_atom_site_fract_y
_atom_site_fract_z
Sr1 0.000 0.000 0.000
Ca1 0.208 0.000 0.624
P1 0.099 0.500 0.797
I1 0.434 0.000 0.303
# Density of states at the Fermi level ... 0.00 states/eV/f.u.
# Uncorrected formation energy ... -1.37 eV/atom

=====

12.
# PBE-GGA BaFeCu2, relaxed
data_BaFeCu2
_chemical_formula_sum 'Ba1 Fe1 Cu2'
_cell_length_a 3.255
_cell_length_b 3.255
_cell_length_c 7.279
_cell_angle_alpha 90.00
_cell_angle_beta 90.00
_cell_angle_gamma 90.00
_symmetry_space_group_name_H-M 'P 4 m m'
_symmetry_Int_Tables_number 99
loop_
_symmetry_equiv_pos_as_xyz
'x,y,z'
'-y,x,z'
'-x,-y,z'
'y,-x,z'
'-x,y,z'
'y,x,z'
'x,-y,z'
'-y,-x,z'
loop_
_atom_site_label
_atom_site_fract_x
_atom_site_fract_y
_atom_site_fract_z
Ba1 0.000 0.000 0.000
Fe1 0.500 0.500 0.661
Cu1 0.000 0.000 0.499
Cu2 0.500 0.500 0.330
# Density of states at the Fermi level ... 2.85 states/eV/f.u.
# ΔE_f ... 1.964 eV/f.u.

=====

13.
# PBE-GGA TbEr3Te, relaxed
data_TbEr3Te
_chemical_formula_sum 'Tb4 Er12 Te4'
_cell_length_a 12.021
_cell_length_b 5.751
_cell_length_c 8.968
_cell_angle_alpha 90.00
_cell_angle_beta 95.61
_cell_angle_gamma 90.00
_symmetry_space_group_name_H-M 'C 1 2/m 1'
_symmetry_Int_Tables_number 12
loop_
_symmetry_equiv_pos_as_xyz
'x,y,z'
'-x,-y,-z'
'-x,y,-z'
'x,-y,z'
'x+1/2,y+1/2,z'
'-x+1/2,-y+1/2,-z'
'-x+1/2,y+1/2,-z'
'x+1/2,-y+1/2,z'
loop_
_atom_site_label
_atom_site_fract_x
_atom_site_fract_y
_atom_site_fract_z
Tb1 0.083 0.000 0.147
Er1 0.058 0.500 0.339
Er2 0.125 0.000 0.640
Er3 0.139 0.500 0.957
Te1 0.211 0.500 0.628
# Density of states at the Fermi level ... 5.20 states/eV/f.u.
# Uncorrected formation energy ... -0.32 eV/atom

=====

14.
# PBE-GGA Ag2Sn2Te, relaxed
data_Ag2Sn2Te
_chemical_formula_sum 'Ag4 Sn4 Te2'
_cell_length_a 7.735
_cell_length_b 7.735
_cell_length_c 4.148
_cell_angle_alpha 90.00
_cell_angle_beta 90.00
_cell_angle_gamma 90.00
_symmetry_space_group_name_H-M 'P 4/m b m'
_symmetry_Int_Tables_number 127
_symmetry_space_group_name_Hall '-P 4 2ab'
loop_
_atom_site_label
_atom_site_fract_x
_atom_site_fract_y
_atom_site_fract_z
Ag1 0.130 0.370 0.000
Sn1 0.162 0.662 0.500
Te1 0.000 0.000 0.000
# Density of states at the Fermi level ... 2.08 states/eV/f.u.
# Energy relative to the lowest polymorph listed for this composition ... 0.000 eV/atom
# Uncorrected formation energy ... 0.06 eV/atom

=====

15.
# PBE-GGA Pm3Nd2YSe6, relaxed
data_Pm3Nd2YSe6
_chemical_formula_sum 'Pm6 Nd4 Y2 Se12'
_cell_length_a 18.232
_cell_length_b 4.174
_cell_length_c 8.424
_cell_angle_alpha 90.00
_cell_angle_beta 103.11
_cell_angle_gamma 90.00
_symmetry_space_group_name_H-M 'C 1 2/m 1'
_symmetry_Int_Tables_number 12
loop_
_symmetry_equiv_pos_as_xyz
'x,y,z'
'-x,-y,-z'
'-x,y,-z'
'x,-y,z'
'x+1/2,y+1/2,z'
'-x+1/2,-y+1/2,-z'
'-x+1/2,y+1/2,-z'
'x+1/2,-y+1/2,z'
loop_
_atom_site_label
_atom_site_fract_x
_atom_site_fract_y
_atom_site_fract_z
Pm1 0.000 0.000 0.000
Pm2 0.170 0.500 0.333
Nd1 0.168 0.500 0.836
Y1 0.000 0.000 0.500
Se1 0.002 0.500 0.258
Se2 0.163 0.000 0.579
Se3 0.165 0.000 0.085
# Density of states at the Fermi level ... 5.79 states/eV/f.u.
# Uncorrected formation energy ... -1.82 eV/atom

=====

16.
# PBE-GGA KSiAu3, relaxed
data_KSiAu3
_chemical_formula_sum 'K1 Si1 Au3'
_cell_length_a 3.826
_cell_length_b 3.826
_cell_length_c 8.452
_cell_angle_alpha 90.00
_cell_angle_beta 90.00
_cell_angle_gamma 90.00
_symmetry_space_group_name_H-M 'P 4 m m'
_symmetry_Int_Tables_number 99
loop_
_symmetry_equiv_pos_as_xyz
'x,y,z'
'-y,x,z'
'-x,-y,z'
'y,-x,z'
'-x,y,z'
'y,x,z'
'x,-y,z'
'-y,-x,z'
loop_
_atom_site_label
_atom_site_fract_x
_atom_site_fract_y
_atom_site_fract_z
K1 0.000 0.000 0.000
Si1 0.500 0.500 0.589
Au1 0.000 0.000 0.625
Au2 0.000 0.500 0.330
# Density of states at the Fermi level ... 1.80 states/eV/f.u.
# Uncorrected formation energy ... 0.04 eV/atom

=====

17.
# PBE-GGA Sr2MgCl6, relaxed
data_Sr2MgCl6
_chemical_formula_sum 'Sr4 Mg2 Cl12'
_cell_length_a 6.678
_cell_length_b 7.589
_cell_length_c 11.377
_cell_angle_alpha 90.00
_cell_angle_beta 123.80
_cell_angle_gamma 90.00
_symmetry_space_group_name_H-M 'P 1 21/c 1'
_symmetry_Int_Tables_number 14
loop_
_symmetry_equiv_pos_as_xyz
'x,y,z'
'-x,-y,-z'
'-x,y+1/2,-z+1/2'
'x,-y+1/2,z+1/2'
loop_
_atom_site_label
_atom_site_fract_x
_atom_site_fract_y
_atom_site_fract_z
Sr1 0.217 0.106 0.253
Mg1 0.500 0.000 0.000
Cl1 0.130 0.163 0.942
Cl2 0.282 0.702 0.939
Cl3 0.379 0.038 0.753
# Density of states at the Fermi level ... 0.00 states/eV/f.u.
# Energy relative to the lowest polymorph listed for this composition ... 0.000 eV/atom
# Uncorrected formation energy ... -2.26 eV/atom

=====

18.
# PBE-GGA BaZn2, relaxed
data_BaZn2
_chemical_formula_sum 'Ba2 Zn4'
_cell_length_a 3.843
_cell_length_b 3.843
_cell_length_c 11.256
_cell_angle_alpha 90.00
_cell_angle_beta 90.00
_cell_angle_gamma 90.00
_symmetry_space_group_name_H-M 'I 4/m m m'
_symmetry_Int_Tables_number 139
_symmetry_space_group_name_Hall '-I 4 2'
loop_
_atom_site_label
_atom_site_fract_x
_atom_site_fract_y
_atom_site_fract_z
Ba1 0.000 0.000 0.000
Zn1 0.000 0.000 0.299
# Density of states at the Fermi level ... 1.90 states/eV/f.u.
# ΔE_f ... -0.144 eV/f.u.

=====

19.
# PBE-GGA K2LiCl, relaxed
data_K2LiCl
_chemical_formula_sum 'K4 Li2 Cl2'
_cell_length_a 4.735
_cell_length_b 4.735
_cell_length_c 15.215
_cell_angle_alpha 90.00
_cell_angle_beta 90.00
_cell_angle_gamma 90.00
_symmetry_space_group_name_H-M 'I -4 m 2'
_symmetry_Int_Tables_number 119
_symmetry_space_group_name_Hall 'I -4 -2'
loop_
_atom_site_label
_atom_site_fract_x
_atom_site_fract_y
_atom_site_fract_z
K1 0.000 0.000 0.000
K2 0.000 0.500 0.250
Li1 0.000 0.500 0.750
Cl1 0.000 0.000 0.500
# Density of states at the Fermi level ... 1.31 states/eV/f.u.
# Energy relative to the lowest polymorph listed for this composition ... 0.206 eV/atom
# Uncorrected formation energy ... -0.61 eV/atom

=====

20.
# PBE-GGA PmNd2Sc, relaxed
data_PmNd2Sc
_chemical_formula_sum 'Pm3 Nd6 Sc3'
_cell_length_a 3.5881
_cell_length_b 3.5881
_cell_length_c 34.6749
_cell_angle_alpha 90.00
_cell_angle_beta 90.00
_cell_angle_gamma 120.00
_symmetry_space_group_name_H-M 'R 3 m'
_symmetry_Int_Tables_number 160
_symmetry_space_group_name_Hall 'R 3 -2"'
loop_
_atom_site_label
_atom_site_fract_x
_atom_site_fract_y
_atom_site_fract_z
Pm1 0.0000 0.0000 0.0000
Nd1 0.0000 0.0000 0.2452
Nd2 0.0000 0.0000 0.4200
Sc1 0.0000 0.0000 0.8325
# Density of states at the Fermi level ... 6.03 states/eV/f.u.
# Energy relative to the lowest polymorph listed for this composition ... 0.055 eV/atom
# ΔE_f ... 0.236 eV/f.u.

=====

Calculated total energy, -7.078; -7.466; -3.049; -6.438; -5.174; -6.611; -4.855; -3.886; -3.824; -9.772; -4.029; -4.153; -4.612; -3.308; -6.087; -3.235; -4.047; -1.538; -2.101; -5.095 eV per atom (same order as the records).
Calculated mass density, 8.7; 7.4; 4.1; 8.0; 9.0; 11.3; 12.6; 3.4; 8.6; 14.8; 3.6; 6.9; 8.5; 7.8; 6.8; 8.8; 2.9; 5.4; 1.2; 6.2 g/cm3 (same order as the records).